No. 1
Material: CuTcAgIr
Method: DFT, PBE
State: relaxed

POSCAR file:
```
CuTcAgIr
1.0
6.184 0.000 0.000
0.000 6.184 0.000
0.000 0.000 6.184
Cu Tc Ag Ir
4 4 4 4
direct
0.000 0.000 0.000
0.000 0.500 0.500
0.500 0.000 0.500
0.500 0.500 0.000
0.250 0.250 0.250
0.250 0.750 0.750
0.750 0.250 0.750
0.750 0.750 0.250
0.250 0.250 0.750
0.250 0.750 0.250
0.750 0.250 0.250
0.750 0.750 0.750
0.000 0.000 0.500
0.000 0.500 0.000
0.500 0.000 0.000
0.500 0.500 0.500
```

Output
The crystal system is cubic. Its total moment is 0.0 μB/cell. The total energy comes out at -6.034 eV/atom. The space group is F-43m.


No. 2
Material: CuAgTe4Ir2
Method: DFT, PBE
State: relaxed

POSCAR file:
```
CuAgTe4Ir2
1.0
6.068 0.000 0.000
0.000 6.068 0.000
0.000 0.000 11.996
Cu Ag Te Ir
2 2 8 4
direct
0.000 0.000 0.000
0.500 0.500 0.500
0.000 0.500 0.250
0.500 0.000 0.750
0.232 0.264 0.618
0.236 0.732 0.882
0.264 0.768 0.382
0.268 0.236 0.118
0.732 0.764 0.118
0.736 0.232 0.382
0.764 0.268 0.882
0.768 0.736 0.618
0.000 0.000 0.500
0.000 0.500 0.750
0.500 0.000 0.250
0.500 0.500 0.000
```

Output
The crystal system is tetragonal. Its total moment is 0.0 μB/cell. The total energy comes out at -4.482 eV/atom. The space group is I-4.


No. 3
Material: ZnCuAgIr
Method: DFT, PBE
State: relaxed

POSCAR file:
```
ZnCuAgIr
1.0
6.169 0.000 0.000
0.000 6.169 0.000
0.000 0.000 6.169
Zn Cu Ag Ir
4 4 4 4
direct
0.000 0.000 0.000
0.000 0.500 0.500
0.500 0.000 0.500
0.500 0.500 0.000
0.250 0.250 0.250
0.250 0.750 0.750
0.750 0.250 0.750
0.750 0.750 0.250
0.000 0.000 0.500
0.000 0.500 0.000
0.500 0.000 0.000
0.500 0.500 0.500
0.250 0.250 0.750
0.250 0.750 0.250
0.750 0.250 0.250
0.750 0.750 0.750
```

Output
The crystal system is cubic. Its total moment is 0.0 μB/cell. The total energy comes out at -3.998 eV/atom. The space group is F-43m.


No. 4
Material: K4CuAgP2
Method: DFT, PBE
State: relaxed

POSCAR file:
```
K4CuAgP2
1.0
7.561 0.000 0.000
0.000 9.859 0.000
-0.131 0.000 5.877
K Cu Ag P
8 2 2 4
direct
0.143 0.170 0.249
0.143 0.830 0.249
0.357 0.330 0.751
0.357 0.670 0.751
0.643 0.330 0.249
0.643 0.670 0.249
0.857 0.170 0.751
0.857 0.830 0.751
0.000 0.500 0.000
0.500 0.000 0.000
0.000 0.500 0.500
0.500 0.000 0.500
0.243 0.500 0.230
0.257 0.000 0.770
0.743 0.000 0.230
0.757 0.500 0.770
```

Output
The crystal system is monoclinic. The total energy comes out at -3.062 eV/atom. The space group is C2/m.


No. 5
Material: K4CuAgSb2
Method: DFT, PBE
State: relaxed

POSCAR file:
```
K4CuAgSb2
1.0
7.865 0.000 0.000
0.000 10.582 0.000
-0.258 0.000 6.450
K Cu Ag Sb
8 2 2 4
direct
0.163 0.171 0.250
0.163 0.829 0.250
0.337 0.329 0.750
0.337 0.671 0.750
0.663 0.329 0.250
0.663 0.671 0.250
0.837 0.171 0.750
0.837 0.829 0.750
0.000 0.500 0.000
0.500 0.000 0.000
0.000 0.500 0.500
0.500 0.000 0.500
0.238 0.000 0.756
0.262 0.500 0.244
0.738 0.500 0.756
0.762 0.000 0.244
```

Output
The crystal system is monoclinic. The total energy comes out at -2.762 eV/atom. The space group is C2/m.


No. 6
Material: La2CuAg
Method: DFT, PBE
State: relaxed

POSCAR file:
```
La2CuAg
1.0
4.745 0.000 0.000
0.000 7.546 0.000
0.000 0.000 5.983
La Cu Ag
4 2 2
direct
0.000 0.071 0.000
0.000 0.575 0.240
0.500 0.425 0.740
0.500 0.929 0.500
0.000 0.213 0.497
0.500 0.787 0.997
0.000 0.711 0.744
0.500 0.289 0.244
```

Output
The crystal system is orthorhombic. Its total moment is 0.0 μB/cell. The total energy comes out at -4.308 eV/atom. The space group is Pmn2_1.


No. 7
Material: La2CuAg
Method: DFT, PBE
State: relaxed

POSCAR file:
```
La2CuAg
1.0
4.769 0.000 0.000
0.000 5.965 0.000
0.000 0.000 7.510
La Cu Ag
4 2 2
direct
0.000 0.113 0.000
0.000 0.887 0.500
0.500 0.372 0.647
0.500 0.628 0.147
0.500 0.124 0.284
0.500 0.876 0.784
0.000 0.379 0.359
0.000 0.621 0.859
```

Output
The crystal system is orthorhombic. Its total moment is 0.0 μB/cell. The total energy comes out at -4.311 eV/atom. The space group is Pmc2_1.


No. 8
Material: La2Mg4CuAg
Method: DFT, PBE
State: relaxed

POSCAR file:
```
La2Mg4CuAg
1.0
8.217 0.000 0.000
0.000 4.507 0.000
0.000 0.000 10.491
La Mg Cu Ag
4 8 2 2
direct
0.000 0.000 0.000
0.000 0.500 0.500
0.500 0.000 0.116
0.500 0.500 0.616
0.189 0.000 0.707
0.189 0.500 0.207
0.298 0.000 0.409
0.298 0.500 0.909
0.702 0.000 0.409
0.702 0.500 0.909
0.811 0.000 0.707
0.811 0.500 0.207
0.000 0.000 0.288
0.000 0.500 0.788
0.500 0.000 0.828
0.500 0.500 0.328
```

Output
The crystal system is orthorhombic. Its total moment is 0.0 μB/cell. The total energy comes out at -3.032 eV/atom. The space group is Amm2.